Entry 1:
AlCu4Ni15, optimized geometry, DFT PBE; space group = P4/mmm; VASP energy = -5.40 eV per atom; E_form = -1.076 eV per formula unit
1.0
3.550 0.000 0.000
0.000 3.550 0.000
0.000 0.000 17.671
Al Cu Ni
1 4 15
direct
0.000 0.000 0.000
0.000 0.000 0.200
0.000 0.000 0.400
0.000 0.000 0.600
0.000 0.000 0.800
0.000 0.500 0.101
0.000 0.500 0.300
0.000 0.500 0.500
0.000 0.500 0.700
0.000 0.500 0.899
0.500 0.000 0.101
0.500 0.000 0.300
0.500 0.000 0.500
0.500 0.000 0.700
0.500 0.000 0.899
0.500 0.500 0.000
0.500 0.500 0.200
0.500 0.500 0.400
0.500 0.500 0.600
0.500 0.500 0.800

=====

Entry 2:
HfNbH, optimized geometry, DFT PBE; space group = P-1; VASP energy = -7.94 eV per atom; offset from the most stable computed form = 0.0000 eV per atom
1.0
3.040 0.000 0.000
-0.258 4.887 0.000
-1.074 -0.151 5.745
Hf Nb H
2 2 2
direct
0.165 0.239 0.385
0.835 0.761 0.615
0.380 0.767 0.117
0.620 0.233 0.883
0.147 0.492 0.848
0.853 0.508 0.152

=====

Entry 3:
Pm4PdBr5, optimized geometry, DFT PBE; space group = C2/m; energy relative to the elements, uncorrected = -1.417 eV/atom; VASP energy = -4.67 eV per atom
1.0
9.466 -2.036 0.000
9.466 2.036 0.000
-2.037 0.000 8.555
Pm Pd Br
4 1 5
direct
0.002 0.002 0.223
0.345 0.345 0.915
0.655 0.655 0.085
0.998 0.998 0.777
0.500 0.500 0.000
0.168 0.168 0.338
0.173 0.173 0.837
0.500 0.500 0.500
0.827 0.827 0.163
0.832 0.832 0.662

=====

Entry 4:
Er2MoN4, optimized geometry, DFT PBE; space group = Fddd; energy relative to the elements, uncorrected = -1.161 eV/atom; VASP energy = -8.77 eV per atom; offset from the most stable computed form = 0.0000 eV per atom
1.0
0.000 5.159 6.139
3.245 0.000 6.139
3.245 5.159 0.000
Er Mo N
4 2 8
direct
0.069 0.681 0.069
0.319 0.931 0.319
0.681 0.069 0.681
0.931 0.319 0.931
0.375 0.375 0.375
0.625 0.625 0.625
0.169 0.733 0.342
0.255 0.342 0.733
0.267 0.831 0.745
0.342 0.255 0.169
0.658 0.745 0.831
0.733 0.169 0.255
0.745 0.658 0.267
0.831 0.267 0.658

=====

Entry 5:
SrLiAgPt2, optimized geometry, DFT PBE; space group = P4/mmm; VASP energy = -2.77 eV per atom; E_form = 4.689 eV per formula unit
1.0
5.411 0.000 0.000
0.000 5.411 0.000
0.000 0.000 5.650
Sr Li Ag Pt
1 1 1 2
direct
0.000 0.000 0.000
0.500 0.500 0.500
0.000 0.000 0.500
0.000 0.500 0.000
0.500 0.000 0.000

=====

Entry 6:
HfBi, optimized geometry, DFT PBE; space group = I4/m; VASP energy = -6.90 eV per atom; E_form = 0.041 eV per formula unit
1.0
-5.657 5.657 1.929
5.657 -5.657 1.929
5.657 5.657 -1.929
Hf Bi
4 4
direct
0.065 0.370 0.435
0.370 0.935 0.306
0.630 0.065 0.694
0.935 0.630 0.565
0.137 0.794 0.931
0.206 0.137 0.344
0.794 0.863 0.656
0.863 0.206 0.069

=====

Entry 7:
Li2TcHPd, optimized geometry, DFT PBE; space group = P4/mmm; VASP energy = -4.49 eV per atom
1.0
3.862 0.000 0.000
0.000 3.862 0.000
0.000 0.000 3.860
Li Tc H Pd
2 1 1 1
direct
0.000 0.500 0.000
0.500 0.000 0.000
0.000 0.000 0.500
0.000 0.000 0.000
0.500 0.500 0.500

=====

Entry 8:
Tb4GaSe2, optimized geometry, DFT PBE; space group = C2/m; energy relative to the elements, uncorrected = -1.102 eV/atom; VASP energy = -5.18 eV per atom
1.0
7.559 -2.004 0.000
7.559 2.004 0.000
-3.184 0.000 6.207
Tb Ga Se
4 1 2
direct
0.117 0.117 0.271
0.376 0.376 0.194
0.624 0.624 0.806
0.883 0.883 0.729
0.000 0.000 0.500
0.249 0.249 0.739
0.751 0.751 0.261